[1]
La4SmY2Mg: optimized geometry, PBE.

```
La4SmY2Mg
1.0
5.894 0.000 0.000
0.000 5.898 0.000
0.000 0.000 7.879
La Sm Y Mg
4 1 2 1
Direct
0.000 0.000 0.235
0.000 0.000 0.765
0.500 0.500 0.236
0.500 0.500 0.764
0.000 0.500 0.500
0.000 0.500 0.000
0.500 0.000 0.500
0.500 0.000 0.000
```

Computed properties:
**Crystal system**: orthorhombic
**VASP energy**: -38.61 eV for the cell shown
**Formation energy**: 42 meV per atom


[2]
Cd2HgAsH: optimized geometry, PBE.

```
Cd2HgAsH
1.0
5.562 0.000 0.000
0.000 5.562 0.000
0.000 0.000 3.412
Cd Hg As H
2 1 1 1
Direct
0.000 0.500 0.000
0.500 0.000 0.000
0.000 0.000 0.500
0.500 0.500 0.000
0.500 0.500 0.500
```

Computed properties:
**Crystal system**: tetragonal
**VASP energy**: -9.38 eV for the cell shown


[3]
Rb2LiRu: optimized geometry, PBE.

```
Rb2LiRu
1.0
8.398 0.000 0.000
0.000 8.398 0.000
0.000 0.000 8.398
Rb Li Ru
8 4 4
Direct
0.250 0.250 0.250
0.250 0.250 0.750
0.250 0.750 0.250
0.250 0.750 0.750
0.750 0.250 0.250
0.750 0.250 0.750
0.750 0.750 0.250
0.750 0.750 0.750
0.000 0.000 0.000
0.000 0.500 0.500
0.500 0.000 0.500
0.500 0.500 0.000
0.000 0.000 0.500
0.000 0.500 0.000
0.500 0.000 0.000
0.500 0.500 0.500
```

Computed properties:
**Crystal system**: cubic
**VASP energy**: -33.64 eV for the cell shown
**Relative energy among the computed polymorphs**: 0.00 eV/f.u.
**Formation energy**: 1179 meV per atom


[4]
DyScBr3: optimized geometry, PBE.

```
DyScBr3
1.0
9.179 -1.879 0.000
9.179 1.879 0.000
-6.519 0.000 9.273
Dy Sc Br
2 2 6
Direct
0.134 0.134 0.280
0.866 0.866 0.720
0.434 0.434 0.039
0.566 0.566 0.961
0.033 0.033 0.754
0.204 0.204 0.114
0.333 0.333 0.492
0.667 0.667 0.508
0.796 0.796 0.886
0.967 0.967 0.246
```

Computed properties:
**Crystal system**: monoclinic
**Formation energy without anion corrections**: -1.450 eV per atom
**VASP energy**: -46.41 eV for the cell shown


[5]
CuPdPbCl6: optimized geometry, PBE.

```
CuPdPbCl6
1.0
6.472 0.000 0.000
-3.236 5.605 0.000
0.000 0.000 6.232
Cu Pd Pb Cl
1 1 1 6
Direct
0.000 0.000 0.000
0.667 0.333 0.000
0.333 0.667 0.500
0.334 0.031 0.222
0.334 0.302 0.778
0.698 0.031 0.778
0.698 0.666 0.222
0.969 0.302 0.222
0.969 0.666 0.778
```

Computed properties:
**Crystal system**: trigonal
**Formation energy without anion corrections**: -0.612 eV per atom
**VASP energy**: -29.59 eV for the cell shown


[6]
TiFeNi2Sb: optimized geometry, PBE.

```
TiFeNi2Sb
1.0
4.472 0.000 0.000
0.000 4.472 0.000
0.000 0.000 4.280
Ti Fe Ni Sb
1 1 2 1
Direct
0.000 0.000 0.000
0.000 0.000 0.500
0.000 0.500 0.000
0.500 0.000 0.000
0.500 0.500 0.500
```

Computed properties:
**Crystal system**: tetragonal
**Formation energy without anion corrections**: 0.812 eV per atom
**VASP energy**: -27.99 eV for the cell shown


[7]
Sc2BrCl: optimized geometry, PBE.

```
Sc2BrCl
1.0
3.479 0.000 0.000
-1.740 3.013 0.000
0.000 0.000 27.664
Sc Br Cl
6 3 3
Direct
0.000 0.000 0.087
0.000 0.000 0.913
0.333 0.667 0.579
0.333 0.667 0.754
0.667 0.333 0.246
0.667 0.333 0.421
0.000 0.000 0.500
0.333 0.667 0.167
0.667 0.333 0.833
0.000 0.000 0.000
0.333 0.667 0.667
0.667 0.333 0.333
```

Computed properties:
**Crystal system**: trigonal
**Formation energy without anion corrections**: -0.864 eV per atom
**VASP energy**: -58.91 eV for the cell shown
**Relative energy among the computed polymorphs**: 1.63 eV/f.u.


[8]
Li2PtSe: optimized geometry, PBE.

```
Li2PtSe
1.0
6.202 0.000 0.000
0.000 6.202 0.000
0.000 0.000 6.202
Li Pt Se
8 4 4
Direct
0.000 0.000 0.000
0.000 0.500 0.500
0.250 0.250 0.250
0.250 0.750 0.750
0.500 0.000 0.500
0.500 0.500 0.000
0.750 0.250 0.750
0.750 0.750 0.250
0.250 0.250 0.750
0.250 0.750 0.250
0.750 0.250 0.250
0.750 0.750 0.750
0.000 0.000 0.500
0.000 0.500 0.000
0.500 0.000 0.000
0.500 0.500 0.500
```

Computed properties:
**Crystal system**: cubic
**Formation energy without anion corrections**: -0.600 eV per atom
**VASP energy**: -63.02 eV for the cell shown


[9]
Sm6Sb4Te: optimized geometry, PBE.

```
Sm6Sb4Te
1.0
6.215 3.588 5.183
-6.215 3.588 5.183
0.000 -7.177 5.183
Sm Sb Te
12 8 2
Direct
0.058 0.912 0.680
0.088 0.320 0.942
0.180 0.412 0.558
0.320 0.942 0.088
0.412 0.558 0.180
0.442 0.820 0.588
0.558 0.180 0.412
0.588 0.442 0.820
0.680 0.058 0.912
0.820 0.588 0.442
0.912 0.680 0.058
0.942 0.088 0.320
0.134 0.750 0.366
0.250 0.250 0.250
0.250 0.634 0.866
0.366 0.134 0.750
0.634 0.866 0.250
0.750 0.366 0.134
0.750 0.750 0.750
0.866 0.250 0.634
0.000 0.000 0.000
0.500 0.500 0.500
```

Computed properties:
**Crystal system**: trigonal
**Formation energy without anion corrections**: -0.946 eV per atom
**VASP energy**: -116.71 eV for the cell shown


[10]
Sc2Cr2Cu: optimized geometry, PBE.

```
Sc2Cr2Cu
1.0
3.946 0.000 0.000
0.000 3.946 0.000
0.000 0.000 11.844
Sc Cr Cu
4 4 2
Direct
0.000 0.500 0.250
0.000 0.500 0.750
0.500 0.000 0.250
0.500 0.000 0.750
0.000 0.000 0.075
0.000 0.000 0.925
0.500 0.500 0.425
0.500 0.500 0.575
0.000 0.000 0.500
0.500 0.500 0.000
```

Computed properties:
**Crystal system**: tetragonal
**VASP energy**: -62.81 eV for the cell shown
**Relative energy among the computed polymorphs**: 3.37 eV/f.u.
**Formation energy**: 920 meV per atom


[11]
CsV3P: optimized geometry, PBE.

```
CsV3P
1.0
4.597 0.000 0.000
0.000 4.597 0.000
0.000 0.000 4.597
Cs V P
1 3 1
Direct
0.000 0.000 0.000
0.000 0.500 0.500
0.500 0.000 0.500
0.500 0.500 0.000
0.500 0.500 0.500
```

Computed properties:
**Crystal system**: cubic
**VASP energy**: -28.45 eV for the cell shown
**Relative energy among the computed polymorphs**: 0.00 eV/f.u.
**Formation energy**: 1033 meV per atom


[12]
PrHoNb: optimized geometry, PBE.

```
PrHoNb
1.0
12.990 0.000 0.000
0.000 4.972 0.000
-0.052 0.000 5.267
Pr Ho Nb
4 4 4
Direct
0.104 0.000 0.221
0.396 0.500 0.779
0.604 0.500 0.221
0.896 0.000 0.779
0.110 0.500 0.775
0.390 0.000 0.225
0.610 0.000 0.775
0.890 0.500 0.225
0.250 0.000 0.665
0.250 0.500 0.335
0.750 0.000 0.335
0.750 0.500 0.665
```

Computed properties:
**Crystal system**: monoclinic
**VASP energy**: -74.37 eV for the cell shown
**Formation energy**: 279 meV per atom